Compound: AlIn2Sb
Source: Alexandria
Functional: PBE-GGA
Structure: optimized geometry

For the energy relative to the elements, uncorrected, the calculation gives 0.162 eV/atom. Its density of states at the Fermi level is 1.68 states/eV per cell. As for the final energy: -3.1730 eV per atom. For the energy above the most stable polymorph in this dataset, the calculation gives 0.091 eV per atom. The crystal system is tetragonal.

Cell lengths 3.564, 3.564, 7.843 Å; angles 90.00, 90.00, 90.00 degrees
Fractional positions:
Al 0.000 0.000 0.000
In 0.500 0.500 0.233
In 0.500 0.500 0.767
Sb 0.000 0.000 0.500